BaTb2P (PBE-GGA, relaxed); DFT total energy = -4.745 eV/atom
1.0
3.915 0.000 0.000
-1.958 3.391 0.000
0.000 0.000 31.880
Ba Tb P
3 6 3
Direct
0.000 0.000 0.000 Ba
0.333 0.667 0.667 Ba
0.667 0.333 0.333 Ba
0.000 0.000 0.118 Tb
0.000 0.000 0.882 Tb
0.333 0.667 0.549 Tb
0.333 0.667 0.784 Tb
0.667 0.333 0.216 Tb
0.667 0.333 0.451 Tb
0.000 0.000 0.500 P
0.333 0.667 0.167 P
0.667 0.333 0.833 P

***

Ba3Tb2UP6 (PBE-GGA, relaxed); DFT total energy = -6.064 eV/atom
1.0
3.640 -6.302 0.000
3.640 6.302 0.000
-2.423 0.000 7.301
Ba Tb U P
3 2 1 6
Direct
0.000 0.000 0.000 Ba
0.329 0.671 0.000 Ba
0.671 0.329 0.000 Ba
0.166 0.834 0.500 Tb
0.834 0.166 0.500 Tb
0.500 0.500 0.500 U
0.119 0.433 0.300 P
0.254 0.254 0.703 P
0.433 0.119 0.300 P
0.567 0.881 0.700 P
0.746 0.746 0.297 P
0.881 0.567 0.700 P

***

Ba2TcP (PBE-GGA, relaxed); DFT total energy = -5.046 eV/atom
1.0
4.090 0.000 0.000
0.000 4.738 0.000
0.000 0.000 14.092
Ba Tc P
4 2 2
Direct
0.000 0.000 0.000 Ba
0.000 0.500 0.245 Ba
0.500 0.000 0.745 Ba
0.500 0.500 0.500 Ba
0.000 0.500 0.840 Tc
0.500 0.000 0.340 Tc
0.000 0.000 0.415 P
0.500 0.500 0.915 P

***

Ba2TcP (PBE-GGA, relaxed); DFT total energy = -4.425 eV/atom
1.0
4.541 0.000 0.000
-2.270 3.932 0.000
0.000 0.000 25.691
Ba Tc P
6 3 3
Direct
0.000 0.000 0.236 Ba
0.000 0.000 0.764 Ba
0.333 0.667 0.431 Ba
0.333 0.667 0.902 Ba
0.667 0.333 0.098 Ba
0.667 0.333 0.569 Ba
0.000 0.000 0.000 Tc
0.333 0.667 0.667 Tc
0.667 0.333 0.333 Tc
0.000 0.000 0.500 P
0.333 0.667 0.167 P
0.667 0.333 0.833 P

***

BaTcP (PBE-GGA, relaxed); excess energy over the best structure of this formula in the dataset = 2171 meV/atom
1.0
7.291 0.000 0.000
0.000 7.291 0.000
0.000 0.000 7.291
Ba Tc P
4 4 4
Direct
0.000 0.000 0.000 Ba
0.000 0.500 0.500 Ba
0.500 0.000 0.500 Ba
0.500 0.500 0.000 Ba
0.250 0.250 0.750 Tc
0.250 0.750 0.250 Tc
0.750 0.250 0.250 Tc
0.750 0.750 0.750 Tc
0.250 0.250 0.250 P
0.250 0.750 0.750 P
0.750 0.250 0.750 P
0.750 0.750 0.250 P

***

BaTcP (PBE-GGA, relaxed); excess energy over the best structure of this formula in the dataset = 0 meV/atom
1.0
4.092 0.000 0.000
0.000 4.092 0.000
0.000 0.000 10.004
Ba Tc P
2 2 2
Direct
0.250 0.250 0.210 Ba
0.750 0.750 0.790 Ba
0.250 0.750 0.500 Tc
0.750 0.250 0.500 Tc
0.250 0.250 0.623 P
0.750 0.750 0.377 P

***

Which formula does entry 3 have?
Ba2TcP

***

What is the formula in the fourth record?
Ba2TcP